Record 1
Below is an optimized crystal structure of Li4DyPu3Se8, with properties calculated at the PBE level.

DOS(E_F) (states/eV per cell): 32.1
Total magnetization (μB/f.u.): 15.00
Electronic total energy (eV for the cell shown): -106.62
Formation energy without anion corrections (eV per atom): -1.468

Structure (POSCAR):
```
Li4DyPu3Se8
1.0
4.1181 2.3776 6.4419
-4.1181 2.3776 6.4419
0.0000 -4.7552 6.4419
Li Dy Pu Se
4 1 3 8
direct
0.0000 0.0000 0.0000
0.0000 0.5000 0.5000
0.5000 0.0000 0.5000
0.5000 0.5000 0.0000
0.5000 0.5000 0.5000
0.0000 0.0000 0.5000
0.0000 0.5000 0.0000
0.5000 0.0000 0.0000
0.2497 0.2497 0.7458
0.2497 0.7458 0.2497
0.2509 0.2509 0.2509
0.2542 0.7503 0.7503
0.7458 0.2497 0.2497
0.7491 0.7491 0.7491
0.7503 0.2542 0.7503
0.7503 0.7503 0.2542
```

---

Record 2
Below is an optimized crystal structure of PrGaH2O4, with properties calculated at the PBE level.

DOS(E_F) (states/eV per cell): 0.0
Total magnetization (μB/f.u.): 0.00
Electronic total energy (eV for the cell shown): -49.61

Structure (POSCAR):
```
PrGaH2O4
1.0
-2.2894 2.8458 3.1552
2.2894 -2.8458 3.1552
2.2894 2.8458 -3.1552
Pr Ga H O
1 1 2 4
direct
0.0000 0.0000 0.0000
0.5000 0.5000 0.0000
0.3253 0.8253 0.5000
0.6747 0.1747 0.5000
0.1849 0.0337 0.5828
0.4510 0.6021 0.4172
0.5490 0.9663 0.1512
0.8151 0.3979 0.8488
```

---

Record 3
Below is an optimized crystal structure of YZrIr, with properties calculated at the PBE level.

DOS(E_F) (states/eV per cell): 6.7
Total magnetization (μB/f.u.): 0.00
Electronic total energy (eV for the cell shown): -51.61
Energy of formation (meV/atom): -644.0
Distance to the lowest polymorph of the same formula (meV per atom): 44.8

Structure (POSCAR):
```
YZrIr
1.0
1.8218 -5.8580 0.0000
1.8218 5.8580 0.0000
0.0000 0.0000 6.5053
Y Zr Ir
2 2 2
direct
0.2056 0.7944 0.5000
0.7944 0.2056 0.0000
0.4882 0.5118 0.2879
0.5118 0.4882 0.7879
0.1030 0.8970 0.0521
0.8970 0.1030 0.5521
```

---

Record 4
Below is an optimized crystal structure of Na5NpSe6, with properties calculated at the PBE level.

DOS(E_F) (states/eV per cell): 12.4
Total magnetization (μB/f.u.): 0.11
Electronic total energy (eV for the cell shown): -51.93
Formation energy without anion corrections (eV per atom): -0.958

Structure (POSCAR):
```
Na5NpSe6
1.0
3.6676 -6.3434 0.0000
3.6676 6.3434 0.0000
-2.5165 0.0000 6.7703
Na Np Se
5 1 6
direct
0.0000 0.0000 0.0000
0.1671 0.8329 0.5000
0.3255 0.6745 0.0000
0.6745 0.3255 0.0000
0.8329 0.1671 0.5000
0.5000 0.5000 0.5000
0.1213 0.4232 0.2678
0.2784 0.2784 0.7261
0.4232 0.1213 0.2678
0.5768 0.8787 0.7322
0.7216 0.7216 0.2739
0.8787 0.5768 0.7322
```

---

Record 5
Below is an optimized crystal structure of LiPRhO2, with properties calculated at the PBE level.

DOS(E_F) (states/eV per cell): 4.9
Total magnetization (μB/f.u.): 1.71
Electronic total energy (eV for the cell shown): -25.48
Distance to the lowest polymorph of the same formula (meV per atom): 0.0
Formation energy without anion corrections (eV per atom): -0.178

Structure (POSCAR):
```
LiPRhO2
1.0
3.8227 0.0000 0.0000
0.0000 3.8227 0.0000
0.0000 0.0000 5.0571
Li P Rh O
1 1 1 2
direct
0.0000 0.0000 0.0000
0.5000 0.5000 0.0000
0.5000 0.5000 0.5000
0.0000 0.5000 0.5000
0.5000 0.0000 0.5000
```

---

Record 6
Below is an optimized crystal structure of SrPaVN4, with properties calculated at the PBE level.

Total magnetization (μB/f.u.): 0.00
Electronic total energy (eV for the cell shown): -124.07
Formation energy without anion corrections (eV per atom): -1.206

Structure (POSCAR):
```
SrPaVN4
1.0
5.8473 0.0000 0.0000
0.0000 5.6639 0.0000
-2.1695 0.0000 6.7769
Sr Pa V N
2 2 2 8
direct
0.2000 0.2500 0.4231
0.8000 0.7500 0.5769
0.2815 0.2500 0.9479
0.7185 0.7500 0.0521
0.2602 0.7500 0.1812
0.7398 0.2500 0.8188
0.0440 0.7500 0.3209
0.0500 0.7500 0.9426
0.4676 0.5074 0.1974
0.4676 0.9926 0.1974
0.5324 0.0074 0.8026
0.5324 0.4926 0.8026
0.9500 0.2500 0.0574
0.9560 0.2500 0.6791
```

---

Record 7
Below is an optimized crystal structure of CoRh, with properties calculated at the PBE level.

DOS(E_F) (states/eV per cell): 4.8
Total magnetization (μB/f.u.): 2.28
Electronic total energy (eV for the cell shown): -28.70
Energy of formation (meV/atom): 53.7

Structure (POSCAR):
```
CoRh
1.0
2.6652 0.0000 0.0000
0.0000 4.2600 0.0000
0.0000 0.0000 4.5279
Co Rh
2 2
direct
0.2500 0.2500 0.0785
0.7500 0.7500 0.9215
0.2500 0.7500 0.4131
0.7500 0.2500 0.5869
```

---

Record 8
Below is an optimized crystal structure of NaTeSe2N, with properties calculated at the PBE level.

DOS(E_F) (states/eV per cell): 5.0
Total magnetization (μB/f.u.): 1.12
Electronic total energy (eV for the cell shown): -17.39
Distance to the lowest polymorph of the same formula (meV per atom): 0.0
Formation energy without anion corrections (eV per atom): 0.474

Structure (POSCAR):
```
NaTeSe2N
1.0
5.5123 0.0000 0.0000
0.0000 5.5123 0.0000
0.0000 0.0000 4.0462
Na Te Se N
1 1 2 1
direct
0.0000 0.0000 0.0000
0.5000 0.5000 0.5000
0.0000 0.5000 0.5000
0.5000 0.0000 0.5000
0.5000 0.5000 0.0000
```

---

Record 9
Below is an optimized crystal structure of Th5TlRe2, with properties calculated at the PBE level.

DOS(E_F) (states/eV per cell): 14.6
Total magnetization (μB/f.u.): 0.00
Electronic total energy (eV for the cell shown): -130.47
Energy of formation (meV/atom): -109.2

Structure (POSCAR):
```
Th5TlRe2
1.0
-4.0161 4.0161 6.9218
4.0161 -4.0161 6.9218
4.0161 4.0161 -6.9218
Th Tl Re
10 2 4
direct
0.0000 0.0000 0.0000
0.0239 0.5239 0.8146
0.2093 0.0239 0.5000
0.2907 0.7907 0.8146
0.4761 0.2907 0.5000
0.5000 0.5000 0.0000
0.5239 0.7093 0.5000
0.7093 0.2093 0.1854
0.7907 0.9761 0.5000
0.9761 0.4761 0.1854
0.2500 0.2500 0.0000
0.7500 0.7500 0.0000
0.1386 0.3614 0.5000
0.3614 0.8614 0.2227
0.6386 0.1386 0.7773
0.8614 0.6386 0.5000
```

---

Record 10
Below is an optimized crystal structure of CrIn2As, with properties calculated at the PBE level.

DOS(E_F) (states/eV per cell): 2.0
Total magnetization (μB/f.u.): 4.34
Electronic total energy (eV for the cell shown): -18.34
Energy of formation (meV/atom): 352.8

Structure (POSCAR):
```
CrIn2As
1.0
0.0000 3.5318 3.5318
3.5318 0.0000 3.5318
3.5318 3.5318 0.0000
Cr In As
1 2 1
direct
0.0000 0.0000 0.0000
0.2500 0.2500 0.2500
0.5000 0.5000 0.5000
0.7500 0.7500 0.7500
```

---

Record 11
Below is an optimized crystal structure of LaTb2Re, with properties calculated at the PBE level.

DOS(E_F) (states/eV per cell): 5.9
Total magnetization (μB/f.u.): 0.28
Electronic total energy (eV for the cell shown): -23.31
Energy of formation (meV/atom): 831.0

Structure (POSCAR):
```
LaTb2Re
1.0
1.6306 0.9414 11.5612
-1.6306 0.9414 11.5612
0.0000 -1.8829 11.5612
La Tb Re
1 2 1
direct
0.0000 0.0000 0.0000
0.4232 0.4232 0.4232
0.5768 0.5768 0.5768
0.5000 0.5000 0.5000
```

---

Record 12
Below is an optimized crystal structure of Ce5NdSn6, with properties calculated at the PBE level.

DOS(E_F) (states/eV per cell): 26.8
Total magnetization (μB/f.u.): 4.49
Electronic total energy (eV for the cell shown): -65.75
Energy of formation (meV/atom): -607.7

Structure (POSCAR):
```
Ce5NdSn6
1.0
2.9436 -8.8308 0.0000
2.9436 8.8308 0.0000
0.0000 0.0000 6.4424
Ce Nd Sn
5 1 6
direct
0.0000 0.0000 0.0000
0.3338 0.6662 0.0000
0.3346 0.6654 0.5000
0.6654 0.3346 0.5000
0.6662 0.3338 0.0000
0.0000 0.0000 0.5000
0.1675 0.8325 0.2507
0.1675 0.8325 0.7493
0.5000 0.5000 0.2486
0.5000 0.5000 0.7514
0.8325 0.1675 0.2507
0.8325 0.1675 0.7493
```